Entry 1:
Entry from the Alexandria database: K2CdSb after structural relaxation (PBE).

Cell and atoms, written as POSCAR:
```
K2CdSb
1.0
6.2174 0.0044 0.0000
-0.0267 6.2174 0.0000
0.0000 0.0000 3.7187
Sb K Cd
1 2 1
direct
0.5000 0.0000 0.5000
0.0000 0.0000 0.0000
0.5000 0.5000 0.0000
0.0000 0.5000 0.5000
```

Calculated values
For the uncorrected formation energy, the calculation gives -0.16 eV per atom. For the size of the total moment, the calculation gives 0.00 μB/atom. The energy above the most stable polymorph in this dataset is 10.5 kJ per mole of atoms. The space group is Cmmm (65).

***

Entry 2:
Entry from the Alexandria database: K2LiCuSe2 after structural relaxation (PBE).

Cell and atoms, written as POSCAR:
```
K2LiCuSe2
1.0
6.2370 0.0000 0.0000
0.0000 6.2557 0.0000
-3.1185 -3.1279 7.4232
Se K Li Cu
4 4 2 2
direct
0.6483 0.4055 0.8111
0.1628 0.9055 0.8111
0.3517 0.5945 0.1889
0.8372 0.0945 0.1889
0.0842 0.3317 0.6635
0.4207 0.1683 0.3365
0.5793 0.8317 0.6635
0.9158 0.6683 0.3365
0.0000 0.7500 0.0000
0.0000 0.2500 0.0000
0.5000 0.2500 0.0000
0.5000 0.7500 0.0000
```

Calculated values
For the uncorrected formation energy, the calculation gives -0.91 eV per atom. For the size of the total moment, the calculation gives 0.00 μB/atom. The space group is Ibam (72).

***

Entry 3:
Entry from the Alexandria database: Na2ScSnH after structural relaxation (PBE).

Cell and atoms, written as POSCAR:
```
Na2ScSnH
1.0
4.3866 0.0000 0.0000
0.0000 4.3866 0.0000
0.0000 0.0000 5.0326
Na H Sn Sc
2 1 1 1
direct
0.5000 0.0000 0.0000
0.0000 0.5000 0.0000
0.0000 0.0000 0.0000
0.5000 0.5000 0.5000
0.0000 0.0000 0.5000
```

Calculated values
For the size of the total moment, the calculation gives 0.00 μB/atom. For the total energy, the calculation gives -3.514 eV per atom. The space group is P4/mmm (123).

***

Entry 4:
Entry from the Alexandria database: K3Mo2Br9 after structural relaxation (PBE).

Cell and atoms, written as POSCAR:
```
K3Mo2Br9
1.0
-3.9125 3.1812 -5.7199
-0.7400 -7.4504 1.4452
-14.0330 3.6494 11.6285
Br K Mo
18 6 4
direct
0.1159 0.3528 0.4061
0.8841 0.6472 0.9061
0.2369 0.8841 0.0939
0.7631 0.1159 0.9061
0.4452 0.0062 0.7500
0.3528 0.2369 0.5939
0.6472 0.7631 0.0939
0.1159 0.3528 0.0939
0.8841 0.6472 0.5939
0.5609 0.5548 0.7500
0.5548 0.9938 0.2500
0.6472 0.7631 0.4061
0.3528 0.2369 0.9061
0.0062 0.5609 0.2500
0.4391 0.4452 0.2500
0.7631 0.1159 0.5939
0.9938 0.4391 0.7500
0.2369 0.8841 0.4061
0.3333 0.6667 0.9484
0.0000 0.0000 0.7500
0.6667 0.3333 0.0516
0.6667 0.3333 0.4484
0.3333 0.6667 0.5516
0.0000 0.0000 0.2500
0.6667 0.3333 0.6737
0.3333 0.6667 0.1737
0.6667 0.3333 0.8263
0.3333 0.6667 0.3263
```

Calculated values
For the uncorrected formation energy, the calculation gives -1.06 eV per atom. For the size of the total moment, the calculation gives 0.29 μB/atom. The space group is P6_3/m (176).

***

Entry 5:
Entry from the Alexandria database: Rb2Zn2HgCl6 after structural relaxation (PBE).

Cell and atoms, written as POSCAR:
```
Rb2Zn2HgCl6
1.0
-7.1621 3.5495 2.9371
-8.4725 -3.2840 2.2690
4.9787 2.4495 7.4937
Rb Zn Cl Hg
2 2 6 1
direct
0.8705 0.3396 0.7840
0.1295 0.6604 0.2160
0.0187 0.8291 0.8345
0.9813 0.1709 0.1655
0.0306 0.3592 0.1284
0.9021 0.1858 0.3963
0.2905 0.7766 0.9731
0.0979 0.8142 0.6037
0.7095 0.2234 0.0269
0.9694 0.6408 0.8716
0.5000 0.0000 0.5000
```

Calculated values
For the uncorrected formation energy, the calculation gives -1.34 eV per atom. For the size of the total moment, the calculation gives 0.00 μB/atom. The space group is P-1 (2).

***

Entry 6:
Entry from the Alexandria database: CeNpTe after structural relaxation (PBE).

Cell and atoms, written as POSCAR:
```
CeNpTe
1.0
-2.5293 1.1233 3.3209
-3.2198 -2.3643 -1.6525
2.8347 -7.0319 4.5376
Np Ce Te
2 2 2
direct
0.5000 0.5000 0.5000
0.0000 0.0000 0.5000
0.0000 0.5000 0.1443
0.5000 0.0000 0.8557
0.5000 0.0000 0.2194
0.0000 0.5000 0.7806
```

Calculated values
For the uncorrected formation energy, the calculation gives -0.50 eV per atom. For the size of the total moment, the calculation gives 1.25 μB/atom. The space group is P4/nmm (129).

***

Entry 7:
Entry from the Alexandria database: Be3In after structural relaxation (PBE).

Cell and atoms, written as POSCAR:
```
Be3In
1.0
-2.1452 -1.8467 -3.6155
-1.6726 -3.3240 2.6902
-3.6992 2.5738 0.8802
Be In
3 1
direct
0.0000 0.5000 0.0000
0.5000 0.0000 0.0000
0.0000 0.0000 0.5000
0.0000 0.0000 0.0000
```

Calculated values
The calculation puts the energy of formation at 34.44 kcal/mol of atoms. For the size of the total moment, the calculation gives 0.00 μB/atom. The energy above the most stable polymorph in this dataset is 121.7 kJ per mole of atoms. The space group is Pm-3m (221).

***

Entry 8:
Entry from the Alexandria database: BaGa9Pt2 after structural relaxation (PBE).

Cell and atoms, written as POSCAR:
```
BaGa9Pt2
1.0
7.2085 0.0000 3.3187
3.6042 7.5788 1.6593
0.4349 0.0000 8.5436
Ga Pt Ba
18 4 2
direct
0.6059 0.3247 0.0814
0.1441 0.4186 0.1753
0.0119 0.9186 0.6753
0.7500 0.5000 0.5000
0.6059 0.0814 0.3247
0.0000 0.0000 0.0000
0.4372 0.8247 0.4186
0.3128 0.6753 0.0814
0.4372 0.4186 0.8247
0.0695 0.9186 0.3247
0.0119 0.6753 0.9186
0.7381 0.8247 0.5814
0.1441 0.1753 0.4186
0.0695 0.3247 0.9186
0.6805 0.1753 0.5814
0.3128 0.0814 0.6753
0.7381 0.5814 0.8247
0.6805 0.5814 0.1753
0.8750 0.7500 0.2500
0.8750 0.2500 0.7500
0.8750 0.2500 0.2500
0.3750 0.7500 0.7500
0.5000 0.0000 0.0000
0.2500 0.5000 0.5000
```

Calculated values
The calculation puts the energy of formation at -9.19 kcal/mol of atoms. For the size of the total moment, the calculation gives 0.00 μB/atom. The space group is I4_1/amd (141).